[1]
Density functional theory data (PBE-GGA) for an optimized crystal structure of LiTbEuPb.

a b c (Å): 5.4406 5.4406 5.4406
angles (deg): 60.00 60.00 60.00
With the nearest neighbours (Å) after each atom.
Positions (direct):
1 Eu 0.0000 0.0000 0.0000  4 Li 3.33, 4 Pb 3.33
2 Tb 0.5000 0.5000 0.5000  4 Pb 3.33, 4 Li 3.33
3 Li 0.7500 0.7500 0.7500  4 Tb 3.33, 4 Eu 3.33
4 Pb 0.2500 0.2500 0.2500  4 Eu 3.33, 4 Tb 3.33

Output
The electronic total energy comes out at -5.43 eV per atom. The value obtained for the formation energy is -0.30 eV/atom. The volume comes out at 114 Å³/cell. The space-group type is F-43m. For the density of states at the Fermi level, the calculation gives 10.30 states/eV/cell.

=====

[2]
Density functional theory data (PBE-GGA) for an optimized crystal structure of LiEuTlPb.

a b c (Å): 5.3785 5.3785 5.3785
angles (deg): 60.00 60.00 60.00
With the nearest neighbours (Å) after each atom.
Positions (direct):
1 Pb 0.7500 0.7500 0.7500  4 Li 3.29, 4 Eu 3.29
2 Tl 0.2500 0.2500 0.2500  4 Li 3.29, 4 Eu 3.29
3 Eu 0.5000 0.5000 0.5000  4 Tl 3.29, 4 Pb 3.29
4 Li 0.0000 0.0000 0.0000  4 Pb 3.29, 4 Tl 3.29

Output
The electronic total energy comes out at -4.96 eV per atom. The value obtained for the formation energy is -0.39 eV/atom. The volume comes out at 110 Å³/cell. The space-group type is F-43m. For the density of states at the Fermi level, the calculation gives 0.48 states/eV/cell.

=====

[3]
Density functional theory data (PBE-GGA) for an optimized crystal structure of LiEuPd.

a b c (Å): 4.8109 4.8109 4.8109
angles (deg): 60.00 60.00 60.00
With the nearest neighbours (Å) after each atom.
Positions (direct):
1 Pd 0.2500 0.2500 0.2500  4 Li 2.95, 4 Eu 2.95
2 Eu 0.0000 0.0000 0.0000  4 Pd 2.95
3 Li 0.5000 0.5000 0.5000  4 Pd 2.95

Output
The electronic total energy comes out at -6.09 eV per atom. Its excess energy over the best structure of this formula in the dataset is 0.1181 eV/atom. The value obtained for the formation energy is -0.29 eV/atom. The volume comes out at 79 Å³/cell. The space-group type is F-43m. For the density of states at the Fermi level, the calculation gives 14.36 states/eV/cell.

=====

[4]
Density functional theory data (PBE-GGA) for an optimized crystal structure of LiEuPd4.

a b c (Å): 5.4022 5.4022 5.4022
angles (deg): 60.00 60.00 60.00
With the nearest neighbours (Å) after each atom.
Positions (direct):
1 Pd 0.6253 0.1240 0.6253  6 Pd 2.69-2.71
2 Eu 0.2500 0.2500 0.2500  12 Pd 3.17, 4 Li 3.31
3 Pd 0.6253 0.6253 0.1240  6 Pd 2.69-2.71
4 Pd 0.6253 0.6253 0.6253  6 Pd 2.69-2.71
5 Pd 0.1240 0.6253 0.6253  6 Pd 2.69-2.71
6 Li 0.0000 0.0000 0.0000  12 Pd 3.17, 4 Eu 3.31

Output
The electronic total energy comes out at -6.01 eV per atom. The value obtained for the formation energy is -0.52 eV/atom. The volume comes out at 111 Å³/cell. The space-group type is F-43m. For the density of states at the Fermi level, the calculation gives 17.41 states/eV/cell.

=====

[5]
Density functional theory data (PBE-GGA) for an optimized crystal structure of Li2EuPd.

a b c (Å): 4.9864 4.1711 4.1711
angles (deg): 90.00 90.00 90.00
With the nearest neighbours (Å) after each atom.
Positions (direct):
1 Pd 0.5000 0.5000 0.5000  4 Eu 2.95, 8 Li 3.25
2 Eu 0.5000 0.0000 0.0000  4 Pd 2.95, 8 Li 3.25
3 Li 0.0000 0.5000 0.0000  4 Li 2.95, 4 Pd 3.25, 4 Eu 3.25
4 Li 0.0000 0.0000 0.5000  4 Li 2.95, 4 Eu 3.25, 4 Pd 3.25

Output
The electronic total energy comes out at -5.06 eV per atom. Its excess energy over the best structure of this formula in the dataset is 0.0000 eV/atom. The value obtained for the formation energy is -0.24 eV/atom. The volume comes out at 87 Å³/cell. The space-group type is P4/mmm. For the density of states at the Fermi level, the calculation gives 10.51 states/eV/cell.

=====

[6]
Density functional theory data (PBE-GGA) for an optimized crystal structure of LiEuPd.

a b c (Å): 4.0639 4.4028 4.4028
angles (deg): 120.00 90.00 90.00
With the nearest neighbours (Å) after each atom.
Positions (direct):
1 Pd 0.1669 0.3333 0.6667  3 Li 2.54
2 Li 0.1665 0.0000 0.0000  3 Pd 2.54
3 Eu 0.6666 0.6667 0.3333  6 Pd 3.25-3.26, 6 Li 3.25

Output
The electronic total energy comes out at -6.21 eV per atom. Its excess energy over the best structure of this formula in the dataset is 0.0000 eV/atom. The value obtained for the formation energy is -0.41 eV/atom. The volume comes out at 68 Å³/cell. The space-group type is P-6m2. For the density of states at the Fermi level, the calculation gives 12.83 states/eV/cell.

=====

[7]
Density functional theory data (PBE-GGA) for an optimized crystal structure of LiEuPd.

a b c (Å): 3.5593 3.5593 5.7059
angles (deg): 108.17 108.17 90.00
With the nearest neighbours (Å) after each atom.
Positions (direct):
1 Li 0.6562 0.6562 0.3124  4 Pd 2.71, 1 Eu 2.89
2 Pd 0.2554 0.2554 0.5109  4 Li 2.71
3 Eu 0.9384 0.9384 0.8768  1 Li 2.89, 4 Pd 3.14

Output
The electronic total energy comes out at -6.15 eV per atom. Its excess energy over the best structure of this formula in the dataset is 0.0549 eV/atom. The value obtained for the formation energy is -0.36 eV/atom. The volume comes out at 65 Å³/cell. The space-group type is I4mm. For the density of states at the Fermi level, the calculation gives 8.90 states/eV/cell.

=====

[8]
Density functional theory data (PBE-GGA) for an optimized crystal structure of Li2EuPd.

a b c (Å): 4.8124 4.8124 4.8124
angles (deg): 60.00 60.00 60.00
With the nearest neighbours (Å) after each atom.
Positions (direct):
1 Li 0.2500 0.2500 0.2500  4 Pd 2.95, 4 Eu 2.95
2 Eu 0.0000 0.0000 0.0000  8 Li 2.95
3 Li 0.7500 0.7500 0.7500  4 Pd 2.95, 4 Eu 2.95
4 Pd 0.5000 0.5000 0.5000  8 Li 2.95

Output
The electronic total energy comes out at -5.02 eV per atom. Its excess energy over the best structure of this formula in the dataset is 0.0464 eV/atom. The value obtained for the formation energy is -0.19 eV/atom. The volume comes out at 79 Å³/cell. The space-group type is Fm-3m. For the density of states at the Fermi level, the calculation gives 2.17 states/eV/cell.

=====

[9]
Density functional theory data (PBE-GGA) for an optimized crystal structure of LiPrEuPd.

a b c (Å): 5.2305 5.2305 5.2305
angles (deg): 60.00 60.00 60.00
With the nearest neighbours (Å) after each atom.
Positions (direct):
1 Pd 0.0000 0.0000 0.0000  4 Eu 3.20, 4 Pr 3.20
2 Pr 0.7500 0.7500 0.7500  4 Pd 3.20, 4 Li 3.20
3 Li 0.5000 0.5000 0.5000  4 Pr 3.20, 4 Eu 3.20
4 Eu 0.2500 0.2500 0.2500  4 Li 3.20, 4 Pd 3.20

Output
The electronic total energy comes out at -5.84 eV per atom. The value obtained for the formation energy is -0.30 eV/atom. The volume comes out at 101 Å³/cell. The space-group type is F-43m. For the density of states at the Fermi level, the calculation gives 5.89 states/eV/cell.

=====

[10]
Density functional theory data (PBE-GGA) for an optimized crystal structure of LiEuPdPt.

a b c (Å): 4.7772 4.7772 4.7772
angles (deg): 60.00 60.00 60.00
With the nearest neighbours (Å) after each atom.
Positions (direct):
1 Pt 0.7500 0.7500 0.7500  4 Li 2.93, 4 Eu 2.93
2 Li 0.5000 0.5000 0.5000  4 Pd 2.93, 4 Pt 2.93
3 Pd 0.2500 0.2500 0.2500  4 Li 2.93, 4 Eu 2.93
4 Eu 0.0000 0.0000 0.0000  4 Pd 2.93, 4 Pt 2.93

Output
The electronic total energy comes out at -6.37 eV per atom. The value obtained for the formation energy is -0.51 eV/atom. The volume comes out at 77 Å³/cell. The space-group type is F-43m. For the density of states at the Fermi level, the calculation gives 11.70 states/eV/cell.

=====

[11]
Density functional theory data (PBE-GGA) for an optimized crystal structure of LiEuPdRh.

a b c (Å): 4.6809 4.6809 4.6809
angles (deg): 60.00 60.00 60.00
With the nearest neighbours (Å) after each atom.
Positions (direct):
1 Rh 0.7500 0.7500 0.7500  4 Li 2.87, 4 Eu 2.87
2 Eu 0.5000 0.5000 0.5000  4 Pd 2.87, 4 Rh 2.87
3 Pd 0.2500 0.2500 0.2500  4 Eu 2.87, 4 Li 2.87
4 Li 0.0000 0.0000 0.0000  4 Rh 2.87, 4 Pd 2.87

Output
The electronic total energy comes out at -6.47 eV per atom. The value obtained for the formation energy is -0.29 eV/atom. The volume comes out at 73 Å³/cell. The space-group type is F-43m. For the density of states at the Fermi level, the calculation gives 8.47 states/eV/cell.

=====

[12]
Density functional theory data (PBE-GGA) for an optimized crystal structure of LiEuSbPd.

a b c (Å): 4.8836 4.8836 4.8836
angles (deg): 60.00 60.00 60.00
With the nearest neighbours (Å) after each atom.
Positions (direct):
1 Eu 0.0000 0.0000 0.0000  4 Pd 2.99, 4 Li 2.99
2 Pd 0.2500 0.2500 0.2500  4 Sb 2.99, 4 Eu 2.99
3 Sb 0.5000 0.5000 0.5000  4 Li 2.99, 4 Pd 2.99
4 Li 0.7500 0.7500 0.7500  4 Sb 2.99, 4 Eu 2.99

Output
As for the raw formation energy: -0.745 eV/atom. The electronic total energy comes out at -6.12 eV per atom. The volume comes out at 82 Å³/cell. The space-group type is F-43m. For the density of states at the Fermi level, the calculation gives 12.08 states/eV/cell.